Record 1
Compound: Sm5TmIn4
Source: the Alexandria database
Functional: PBE
Structure: relaxed

Lattice parameters (Å, degrees): 3.6217 3.6217 22.1231 90.00 90.00 90.00
Space group P4/mmm (No. 123)
Symmetry-distinct sites (fractional):
Sm (0.0000, 0.0000, 0.0000) [1 per cell]
Sm (0.0000, 0.0000, 0.1938) [2 per cell]
Sm (0.0000, 0.0000, 0.3869) [2 per cell]
Tm (0.5000, 0.5000, 0.5000) [1 per cell]
In (0.5000, 0.5000, 0.0969) [2 per cell]
In (0.5000, 0.5000, 0.2908) [2 per cell]

Properties
The value obtained for the total energy is -4.2800 eV per atom. The energy relative to the elements comes out at -377.9 meV/atom.


Record 2
Compound: GaGeO2F
Source: the Alexandria database
Functional: PBE
Structure: relaxed

Lattice parameters (Å, degrees): 3.8890 3.8890 3.8640 90.00 90.00 90.00
Space group P4/mmm (No. 123)
Symmetry-distinct sites (fractional):
Ga (0.0000, 0.0000, 0.0000) [1 per cell]
Ge (0.5000, 0.5000, 0.5000) [1 per cell]
O (0.0000, 0.5000, 0.0000) [2 per cell]
F (0.0000, 0.0000, 0.5000) [1 per cell]

Properties
The value obtained for the total energy is -5.2378 eV per atom. The value obtained for the formation energy from raw total energies is -1.351 eV/atom.


Please write out number 1 again, unchanged.
Compound: Sm5TmIn4
Source: the Alexandria database
Functional: PBE
Structure: relaxed

Lattice parameters (Å, degrees): 3.6217 3.6217 22.1231 90.00 90.00 90.00
Space group P4/mmm (No. 123)
Symmetry-distinct sites (fractional):
Sm (0.0000, 0.0000, 0.0000) [1 per cell]
Sm (0.0000, 0.0000, 0.1938) [2 per cell]
Sm (0.0000, 0.0000, 0.3869) [2 per cell]
Tm (0.5000, 0.5000, 0.5000) [1 per cell]
In (0.5000, 0.5000, 0.0969) [2 per cell]
In (0.5000, 0.5000, 0.2908) [2 per cell]

Properties
The value obtained for the total energy is -4.2800 eV per atom. The energy relative to the elements comes out at -377.9 meV/atom.